The following is a DFT calculation (PBE) of crystalline AcLaYEr at its relaxed geometry.

## Properties
- energy relative to the elements (meV per atom) = 53
- spin magnetization (μB/cell) = 0.00
- volume (Å³/f.u.) = 144.4

abc: 3.733 3.733 10.357
angles: 90.00 90.00 90.00
Positions (direct):
Ac 0.000 0.000 0.000
La 0.500 0.500 0.733
Y 0.500 0.500 0.264
Er 0.000 0.000 0.489